# YTmSi2Pd4, optimized geometry, DFT PBE
# Crystal system = orthorhombic
# Calculated volume = 278 Å³ per cell
# DFT total energy = -6.270 eV per atom
# Magnetic moment = 0.001 μB/atom
data_YTmSi2Pd4
_symmetry_space_group_name_H-M 'A m m 2'
_symmetry_Int_Tables_number 38
_symmetry_space_group_name_Hall 'A 2 -2'
_cell_length_a 7.122
_cell_length_b 3.847
_cell_length_c 10.159
_cell_angle_alpha 90.00
_cell_angle_beta 90.00
_cell_angle_gamma 90.00
loop_
_atom_site_label
_atom_site_type_symbol
_atom_site_fract_x
_atom_site_fract_y
_atom_site_fract_z
Y1 Y 0.000 0.000 0.000
Tm1 Tm 0.500 0.000 0.894
Si1 Si 0.000 0.000 0.717
Si2 Si 0.500 0.000 0.177
Pd1 Pd 0.198 0.000 0.302
Pd2 Pd 0.304 0.000 0.592

---

# ErZrSi2, optimized geometry, DFT PBE
# Crystal system = orthorhombic
# Calculated volume = 154 Å³ per cell
# DFT total energy = -6.844 eV per atom
# Magnetic moment = 0.001 μB/atom
data_ErZrSi2
_symmetry_space_group_name_H-M 'P m n 21'
_symmetry_Int_Tables_number 31
_symmetry_space_group_name_Hall 'P 2ac -2'
_cell_length_a 3.775
_cell_length_b 7.486
_cell_length_c 5.459
_cell_angle_alpha 90.00
_cell_angle_beta 90.00
_cell_angle_gamma 90.00
loop_
_atom_site_label
_atom_site_type_symbol
_atom_site_fract_x
_atom_site_fract_y
_atom_site_fract_z
Er1 Er 0.000 0.074 0.000
Zr1 Zr 0.000 0.566 0.259
Si1 Si 0.000 0.222 0.514
Si2 Si 0.000 0.700 0.743